# RbTlN2 | Alexandria | PBEsol | relaxed
# D(E_F) in states/eV/cell: 3.4
# Formation energy without anion corrections in meV per atom: 1120
data_RbTlN2
_chemical_formula_sum 'Rb4 Tl4 N8'
_space_group_name_H-M_alt 'I -4 2 d'
_space_group_IT_number 122
_space_group_name_Hall 'I -4 2bw'
_cell_length_a 6.597
_cell_length_b 6.597
_cell_length_c 7.678
_cell_angle_alpha 90.00
_cell_angle_beta 90.00
_cell_angle_gamma 90.00
loop_
_atom_site_label
_atom_site_fract_x
_atom_site_fract_y
_atom_site_fract_z
_atom_site_occupancy
Rb1 0.000 0.000 0.000 1
Tl1 0.000 0.000 0.500 1
N1 0.168 0.250 0.625 1